No. 1
Compound: CaAcHoSc
Source: the Alexandria database
Functional: GGA-PBE
Structure: relaxed

a = 8.1895 Å, b = 8.1895 Å, c = 8.1895 Å
α = 90.00°, β = 90.00°, γ = 90.00°
Space group F-43m (No. 216)
Asymmetric unit:
Ca1 0.0000 0.0000 0.0000 [4 per cell]
Ac1 0.2500 0.2500 0.2500 [4 per cell]
Ho1 0.2500 0.2500 0.7500 [4 per cell]
Sc1 0.0000 0.0000 0.5000 [4 per cell]

Properties
The value obtained for the density of states at the Fermi level is 1.55 states/eV/atom. As for the total energy: -16.398 eV per formula unit. The energy relative to the elements is 155 meV/atom.

---

No. 2
Compound: PmTmCO
Source: the Alexandria database
Functional: GGA-PBE
Structure: relaxed

a = 3.1511 Å, b = 3.3318 Å, c = 12.0295 Å
α = 90.00°, β = 90.00°, γ = 90.00°
Space group Imm2 (No. 44)
Asymmetric unit:
Pm1 0.0000 0.0000 0.0000 [2 per cell]
Tm1 0.0000 0.5000 0.2515 [2 per cell]
C1 0.0000 0.5000 0.8399 [2 per cell]
O1 0.0000 0.0000 0.5976 [2 per cell]

Properties
The value obtained for the density of states at the Fermi level is 0.31 states/eV/atom. As for the total energy: -28.178 eV per formula unit. As for the raw formation energy: -1.1934 eV per atom.

---

No. 3
Compound: K2OsRu
Source: the Alexandria database
Functional: GGA-PBE
Structure: relaxed

a = 4.0329 Å, b = 5.7934 Å, c = 9.9735 Å
α = 90.00°, β = 90.00°, γ = 90.00°
Space group Imm2 (No. 44)
Asymmetric unit:
K1 0.0000 0.0000 0.0000 [2 per cell]
K2 0.0000 0.5000 0.1998 [2 per cell]
Os1 0.0000 0.5000 0.7940 [2 per cell]
Ru1 0.0000 0.0000 0.4057 [2 per cell]

Properties
The value obtained for the density of states at the Fermi level is 0.79 states/eV/atom. As for the total energy: -18.515 eV per formula unit. The energy relative to the elements is 1046 meV/atom. The energy above the most stable polymorph in this dataset comes out at 0.349 eV per atom.

---

No. 4
Compound: CaHo4ErTe8
Source: the Alexandria database
Functional: GGA-PBE
Structure: relaxed

a = 9.0593 Å, b = 9.0593 Å, c = 22.1904 Å
α = 90.00°, β = 90.00°, γ = 120.00°
Space group R3m (No. 160, hexagonal axes)
Asymmetric unit:
Ca1 0.0000 0.0000 0.0000 [3 per cell]
Ho1 0.0000 0.0000 0.2499 [3 per cell]
Ho2 0.1694 0.3388 0.4577 [9 per cell]
Er1 0.0000 0.0000 0.6274 [3 per cell]
Te1 0.0000 0.0000 0.3829 [3 per cell]
Te2 0.0000 0.0000 0.8652 [3 per cell]
Te3 0.0267 0.5133 0.3781 [9 per cell]
Te4 0.1778 0.3556 0.2062 [9 per cell]

Properties
The value obtained for the density of states at the Fermi level is 0.33 states/eV/atom. As for the total energy: -68.245 eV per formula unit. As for the raw formation energy: -1.3026 eV per atom.

---

No. 5
Compound: Ca2PrThAs4
Source: the Alexandria database
Functional: GGA-PBE
Structure: relaxed

a = 7.3385 Å, b = 4.3077 Å, c = 7.4757 Å
α = 90.00°, β = 109.86°, γ = 90.00°
Space group P2/m (No. 10)
Asymmetric unit:
Ca1 0.0000 0.0000 0.0000 [1 per cell]
Ca2 0.0000 0.5000 0.5000 [1 per cell]
Pr1 0.5000 0.0000 0.5000 [1 per cell]
Th1 0.5000 0.5000 0.0000 [1 per cell]
As1 0.2542 0.5000 0.2476 [2 per cell]
As2 0.2567 0.0000 0.7560 [2 per cell]

Properties
The value obtained for the density of states at the Fermi level is 0.88 states/eV/atom. As for the total energy: -44.881 eV per formula unit. The energy relative to the elements is -1260 meV/atom.

---

No. 6
Compound: AsAuC3
Source: the Alexandria database
Functional: GGA-PBE
Structure: relaxed

a = 4.1612 Å, b = 4.1612 Å, c = 4.1612 Å
α = 90.00°, β = 90.00°, γ = 90.00°
Space group Pm-3m (No. 221)
Asymmetric unit:
As1 0.0000 0.0000 0.0000 [1 per cell]
Au1 0.5000 0.5000 0.5000 [1 per cell]
C1 0.0000 0.5000 0.5000 [3 per cell]

Properties
The value obtained for the density of states at the Fermi level is 1.08 states/eV/atom. As for the total energy: -19.912 eV per formula unit. The energy relative to the elements is 3137 meV/atom. The energy above the most stable polymorph in this dataset comes out at 0.448 eV per atom.

---

No. 7
Compound: PaAlNi4
Source: the Alexandria database
Functional: GGA-PBE
Structure: relaxed

a = 6.9375 Å, b = 6.9375 Å, c = 6.9375 Å
α = 90.00°, β = 90.00°, γ = 90.00°
Space group F-43m (No. 216)
Asymmetric unit:
Pa1 0.0000 0.0000 0.0000 [4 per cell]
Al1 0.2500 0.2500 0.2500 [4 per cell]
Ni1 0.1236 0.1236 0.6236 [16 per cell]

Properties
The value obtained for the density of states at the Fermi level is 0.88 states/eV/atom. As for the total energy: -39.246 eV per formula unit. The energy relative to the elements is -480 meV/atom.

---

No. 8
Compound: KCuHgBr4
Source: the Alexandria database
Functional: GGA-PBE
Structure: relaxed

a = 7.0811 Å, b = 7.7440 Å, c = 8.8132 Å
α = 90.00°, β = 104.77°, γ = 90.00°
Space group P2_1/m (No. 11)
Asymmetric unit:
K1 0.2336 0.2500 0.0783 [2 per cell]
Cu1 0.2046 0.7500 0.2919 [2 per cell]
Hg1 0.2735 0.2500 0.6392 [2 per cell]
Br1 0.0320 0.0132 0.7273 [4 per cell]
Br2 0.3944 0.7500 0.0957 [2 per cell]
Br3 0.4832 0.7500 0.5388 [2 per cell]

Properties
As for the total energy: -17.279 eV per formula unit. As for the raw formation energy: -0.7274 eV per atom.

---

Q: What is the formula in the seventh record?
A: PaAlNi4